[1]
Compound: NdPaPtAu
Source: Alexandria via LeMat-Bulk
Functional: PBE
Structure: optimized geometry

Energy of formation from the pure elements ... -0.601 eV per atom

a b c (Å): 7.2170 7.2170 7.2170
angles (deg): 90.00 90.00 90.00
With the nearest neighbours (Å) after each atom.
Space group F-43m (No. 216)
Inequivalent atoms, fractional coordinates:
Nd (0.0000, 0.0000, 0.0000) (multiplicity 4)  4 Pt 3.13, 4 Au 3.13
Pa (0.0000, 0.0000, 0.5000) (multiplicity 4)  4 Pt 3.13, 4 Au 3.13
Pt (0.2500, 0.2500, 0.2500) (multiplicity 4)  4 Pa 3.13, 4 Nd 3.13
Au (0.2500, 0.2500, 0.7500) (multiplicity 4)  4 Pa 3.13, 4 Nd 3.13


[2]
Compound: NdPaRhAu
Source: Alexandria via LeMat-Bulk
Functional: PBE
Structure: optimized geometry

Energy of formation from the pure elements ... -0.436 eV per atom

a b c (Å): 7.1563 7.1563 7.1563
angles (deg): 90.00 90.00 90.00
With the nearest neighbours (Å) after each atom.
Space group F-43m (No. 216)
Inequivalent atoms, fractional coordinates:
Nd (0.0000, 0.0000, 0.0000) (multiplicity 4)  4 Rh 3.10, 4 Au 3.10
Pa (0.0000, 0.0000, 0.5000) (multiplicity 4)  4 Rh 3.10, 4 Au 3.10
Rh (0.2500, 0.2500, 0.2500) (multiplicity 4)  4 Pa 3.10, 4 Nd 3.10
Au (0.2500, 0.2500, 0.7500) (multiplicity 4)  4 Nd 3.10, 4 Pa 3.10


[3]
Compound: NdPaRuAu
Source: Alexandria via LeMat-Bulk
Functional: PBE
Structure: optimized geometry

Energy of formation from the pure elements ... -0.259 eV per atom

a b c (Å): 7.1191 7.1191 7.1191
angles (deg): 90.00 90.00 90.00
With the nearest neighbours (Å) after each atom.
Space group F-43m (No. 216)
Inequivalent atoms, fractional coordinates:
Nd (0.0000, 0.0000, 0.0000) (multiplicity 4)  4 Au 3.08, 4 Ru 3.08
Pa (0.0000, 0.0000, 0.5000) (multiplicity 4)  4 Ru 3.08, 4 Au 3.08
Ru (0.2500, 0.2500, 0.2500) (multiplicity 4)  4 Pa 3.08, 4 Nd 3.08
Au (0.2500, 0.2500, 0.7500) (multiplicity 4)  4 Pa 3.08, 4 Nd 3.08


[4]
Compound: NdPaTlAu
Source: Alexandria via LeMat-Bulk
Functional: PBE
Structure: optimized geometry

Energy of formation from the pure elements ... -0.110 eV per atom

a b c (Å): 7.5392 7.5392 7.5392
angles (deg): 90.00 90.00 90.00
With the nearest neighbours (Å) after each atom.
Space group F-43m (No. 216)
Inequivalent atoms, fractional coordinates:
Nd (0.0000, 0.0000, 0.0000) (multiplicity 4)  4 Au 3.26, 4 Tl 3.26
Pa (0.0000, 0.0000, 0.5000) (multiplicity 4)  4 Tl 3.26, 4 Au 3.26
Tl (0.2500, 0.2500, 0.2500) (multiplicity 4)  4 Pa 3.26, 4 Nd 3.26
Au (0.2500, 0.2500, 0.7500) (multiplicity 4)  4 Pa 3.26, 4 Nd 3.26


[5]
Compound: NdPaZnAu
Source: Alexandria via LeMat-Bulk
Functional: PBE
Structure: optimized geometry

Energy of formation from the pure elements ... -0.151 eV per atom

a b c (Å): 7.2955 7.2955 7.2955
angles (deg): 90.00 90.00 90.00
With the nearest neighbours (Å) after each atom.
Space group F-43m (No. 216)
Inequivalent atoms, fractional coordinates:
Nd (0.0000, 0.0000, 0.0000) (multiplicity 4)  4 Zn 3.16, 4 Au 3.16
Pa (0.0000, 0.0000, 0.5000) (multiplicity 4)  4 Zn 3.16, 4 Au 3.16
Zn (0.2500, 0.2500, 0.7500) (multiplicity 4)  4 Nd 3.16, 4 Pa 3.16
Au (0.2500, 0.2500, 0.2500) (multiplicity 4)  4 Pa 3.16, 4 Nd 3.16


[6]
Compound: Nd2PbAu4
Source: Alexandria via LeMat-Bulk
Functional: PBE
Structure: optimized geometry

Energy of formation from the pure elements ... -0.526 eV per atom

a b c (Å): 4.9980 4.9980 25.4354
angles (deg): 90.00 90.00 120.00
With the nearest neighbours (Å) after each atom.
Space group R-3m (No. 166, hexagonal axes)
Inequivalent atoms, fractional coordinates:
Nd (0.0000, 0.0000, 0.2490) (multiplicity 6)  8 Au 3.01-3.25
Pb (0.0000, 0.0000, 0.0000) (multiplicity 3)  8 Au 3.09-3.33
Au (0.0000, 0.0000, 0.1309) (multiplicity 6)  4 Nd 3.01-3.12, 1 Pb 3.33
Au (0.0000, 0.0000, 0.3767) (multiplicity 6)  4 Nd 3.07-3.25, 3 Pb 3.09


[7]
Compound: Nd3Pb4Au3
Source: Alexandria via LeMat-Bulk
Functional: PBE
Structure: optimized geometry

Energy of formation from the pure elements ... -0.547 eV per atom

a b c (Å): 10.2981 10.2981 10.2981
angles (deg): 90.00 90.00 90.00
With the nearest neighbours (Å) after each atom.
Space group I-43d (No. 220)
Inequivalent atoms, fractional coordinates:
Nd (0.0000, 0.2500, 0.8750) (multiplicity 12)  4 Au 3.15, 4 Pb 3.47
Pb (0.0922, 0.4078, 0.5922) (multiplicity 16)  3 Au 2.92
Au (0.0000, 0.2500, 0.3750) (multiplicity 12)  4 Pb 2.92, 4 Nd 3.15


[8]
Compound: NdPbAu
Source: Alexandria via LeMat-Bulk
Functional: PBE
Structure: optimized geometry

Energy of formation from the pure elements ... -0.571 eV per atom

a b c (Å): 4.9273 4.9273 3.7366
angles (deg): 90.00 90.00 120.00
With the nearest neighbours (Å) after each atom.
Space group P3m1 (No. 156)
Inequivalent atoms, fractional coordinates:
Nd (0.0000, 0.0000, 0.0000) (multiplicity 1)  6 Au 3.32-3.49, 6 Pb 3.34-3.47
Pb (0.6667, 0.3333, 0.5297) (multiplicity 1)  3 Au 2.86
Au (0.3333, 0.6667, 0.4586) (multiplicity 1)  3 Pb 2.86


[9]
Compound: NdPbAu
Source: Alexandria via LeMat-Bulk
Functional: PBE
Structure: optimized geometry

Energy of formation from the pure elements ... -0.573 eV per atom

a b c (Å): 4.9153 4.9153 7.5896
angles (deg): 90.00 90.00 120.00
With the nearest neighbours (Å) after each atom.
Space group P6_3/mmc (No. 194)
Inequivalent atoms, fractional coordinates:
Nd (0.0000, 0.0000, 0.0000) (multiplicity 2)  6 Pb 3.41, 6 Au 3.41, 2 Nd 3.79
Pb (0.3333, 0.6667, 0.2500) (multiplicity 2)  3 Au 2.84
Au (0.3333, 0.6667, 0.7500) (multiplicity 2)  3 Pb 2.84


[10]
Compound: Nd7Pb2Au2
Source: Alexandria via LeMat-Bulk
Functional: PBE
Structure: optimized geometry

Energy of formation from the pure elements ... -0.304 eV per atom

a b c (Å): 8.6671 11.6929 7.2535
angles (deg): 90.00 90.00 90.00
With the nearest neighbours (Å) after each atom.
Space group Cmmm (No. 65)
Inequivalent atoms, fractional coordinates:
Nd (0.0000, 0.0000, 0.0000) (multiplicity 2)  2 Au 3.29
Nd (0.0000, 0.5000, 0.2423) (multiplicity 4)  2 Au 3.10, 2 Pb 3.35
Nd (0.2500, 0.2500, 0.2650) (multiplicity 8)  2 Au 2.92
Pb (0.1794, 0.0000, 0.5000) (multiplicity 4)  1 Pb 3.11, 6 Nd 3.35-3.44
Au (0.0000, 0.2818, 0.0000) (multiplicity 4)  6 Nd 2.92-3.10


[11]
Compound: Nd4PbAu5
Source: Alexandria via LeMat-Bulk
Functional: PBE
Structure: optimized geometry

Energy of formation from the pure elements ... -0.674 eV per atom

a b c (Å): 3.7614 3.7614 18.0015
angles (deg): 90.00 90.00 90.00
With the nearest neighbours (Å) after each atom.
Space group P4/mmm (No. 123)
Inequivalent atoms, fractional coordinates:
Nd (0.0000, 0.0000, 0.1036) (multiplicity 2)  8 Au 3.20-3.25
Nd (0.0000, 0.0000, 0.3088) (multiplicity 2)  8 Au 3.08-3.28, 1 Pb 3.44
Pb (0.0000, 0.0000, 0.5000) (multiplicity 1)  8 Au 3.27, 2 Nd 3.44
Au (0.5000, 0.5000, 0.0000) (multiplicity 1)  8 Nd 3.25, 2 Au 3.64
Au (0.5000, 0.5000, 0.2019) (multiplicity 2)  8 Nd 3.20-3.28, 1 Au 3.47
Au (0.5000, 0.5000, 0.3947) (multiplicity 2)  4 Nd 3.08, 4 Pb 3.27


[12]
Compound: NdPb2Au9
Source: Alexandria via LeMat-Bulk
Functional: PBE
Structure: optimized geometry

Energy of formation from the pure elements ... -0.218 eV per atom

a b c (Å): 5.6535 5.6535 28.3128
angles (deg): 90.00 90.00 120.00
With the nearest neighbours (Å) after each atom.
Space group R-3m (No. 166, hexagonal axes)
Inequivalent atoms, fractional coordinates:
Nd (0.0000, 0.0000, 0.0000) (multiplicity 3)  6 Au 3.26
Pb (0.0000, 0.0000, 0.1450) (multiplicity 6)  12 Au 3.32-3.40, 3 Pb 3.49
Au (0.0000, 0.0000, 0.3329) (multiplicity 6)  6 Au 2.84-2.87
Au (0.0000, 0.0000, 0.5000) (multiplicity 3)  6 Au 2.88
Au (0.0015, 0.5008, 0.9171) (multiplicity 18)  7 Au 2.81-2.88


[13]
Compound: NdPbAu4
Source: Alexandria via LeMat-Bulk
Functional: PBE
Structure: optimized geometry

Energy of formation from the pure elements ... -0.440 eV per atom
Excess energy over the best structure of this formula in the dataset ... 0.0 meV/atom

a b c (Å): 4.8660 4.8660 6.6764
angles (deg): 90.00 90.00 120.00
With the nearest neighbours (Å) after each atom.
Space group P6/mmm (No. 191)
Inequivalent atoms, fractional coordinates:
Nd (0.0000, 0.0000, 0.0000) (multiplicity 1)  12 Au 3.25, 2 Pb 3.34
Pb (0.0000, 0.0000, 0.5000) (multiplicity 1)  12 Au 3.28, 2 Nd 3.34
Au (0.3333, 0.6667, 0.2457) (multiplicity 4)  3 Au 2.81


Across the entries above, DFT total energy takes the values -6.50; -6.66; -6.96; -5.09; -4.85; -4.29; -4.44; -4.49; -4.49; -4.61; -4.59; -3.69; -4.04 eV/atom, respectively.